The following is a meta-GGA SCAN calculation of a PBEsol-optimized structure of PrAl22O34, from Alexandria via LeMat-Bulk.

Lattice parameters (Å, degrees): 9.7505 11.2206 11.7052 76.14 82.03 90.00
Fractional positions:
Pr 0.0000 0.0000 0.0000
Pr 0.5000 0.5000 0.0000
Al 0.0000 0.0000 0.5000
Al 0.0000 0.5000 0.5000
Al 0.0476 0.3205 0.7156
Al 0.0486 0.5718 0.7155
Al 0.0503 0.8204 0.7166
Al 0.0509 0.0749 0.7056
Al 0.1741 0.2619 0.4477
Al 0.1759 0.7624 0.4496
Al 0.2021 0.0530 0.2841
Al 0.2030 0.5535 0.2837
Al 0.2216 0.3368 0.1485
Al 0.2263 0.8361 0.1492
Al 0.2735 0.4108 0.8507
Al 0.2786 0.9111 0.8515
Al 0.2968 0.1953 0.7166
Al 0.2982 0.6951 0.7155
Al 0.3237 0.4873 0.5516
Al 0.3262 0.9857 0.5510
Al 0.4492 0.4275 0.2948
Al 0.4500 0.1786 0.2840
Al 0.4512 0.9298 0.2840
Al 0.4522 0.6784 0.2837
Al 0.4991 0.2489 0.5021
Al 0.5009 0.7511 0.4979
Al 0.5478 0.3216 0.7163
Al 0.5488 0.0702 0.7160
Al 0.5500 0.8214 0.7160
Al 0.5508 0.5725 0.7052
Al 0.6738 0.0143 0.4490
Al 0.6763 0.5127 0.4484
Al 0.7018 0.3049 0.2845
Al 0.7032 0.8047 0.2834
Al 0.7214 0.0889 0.1485
Al 0.7265 0.5892 0.1493
Al 0.7737 0.1639 0.8508
Al 0.7784 0.6632 0.8515
Al 0.7970 0.4465 0.7163
Al 0.7979 0.9470 0.7159
Al 0.8241 0.2376 0.5504
Al 0.8259 0.7381 0.5523
Al 0.9491 0.9251 0.2944
Al 0.9497 0.1796 0.2834
Al 0.9514 0.4282 0.2845
Al 0.9524 0.6795 0.2844
O 0.0442 0.0683 0.2112
O 0.0437 0.8272 0.2059
O 0.0452 0.3224 0.2077
O 0.0474 0.5712 0.2150
O 0.0932 0.1414 0.3979
O 0.0932 0.9071 0.4002
O 0.0940 0.6440 0.3991
O 0.0961 0.4076 0.3984
O 0.1394 0.4751 0.5992
O 0.1406 0.9758 0.5995
O 0.1487 0.2222 0.6099
O 0.1487 0.7226 0.6110
O 0.1958 0.0526 0.7941
O 0.2005 0.3005 0.7910
O 0.2028 0.5522 0.7881
O 0.2048 0.8021 0.7890
O 0.2165 0.8922 0.0002
O 0.2834 0.3922 0.9998
O 0.2956 0.1967 0.2113
O 0.2973 0.9466 0.2113
O 0.2992 0.6960 0.2087
O 0.3042 0.4495 0.2063
O 0.3510 0.5280 0.3895
O 0.3516 0.0273 0.3894
O 0.3596 0.2756 0.4009
O 0.3604 0.7747 0.4004
O 0.4034 0.1066 0.6016
O 0.4052 0.3432 0.6016
O 0.4072 0.6075 0.5995
O 0.4076 0.8407 0.6014
O 0.4525 0.1786 0.7851
O 0.4549 0.9262 0.7923
O 0.4562 0.4302 0.7941
O 0.4558 0.6740 0.7886
O 0.5442 0.3260 0.2114
O 0.5438 0.5698 0.2059
O 0.5451 0.0738 0.2077
O 0.5475 0.8214 0.2149
O 0.5924 0.1593 0.3986
O 0.5928 0.3925 0.4005
O 0.5948 0.6568 0.3984
O 0.5966 0.8934 0.3984
O 0.6396 0.2253 0.5996
O 0.6404 0.7244 0.5991
O 0.6484 0.9727 0.6106
O 0.6490 0.4720 0.6105
O 0.6958 0.5505 0.7937
O 0.7008 0.3040 0.7913
O 0.7027 0.0534 0.7887
O 0.7044 0.8033 0.7887
O 0.7166 0.6078 0.0002
O 0.7835 0.1078 0.9998
O 0.7952 0.1979 0.2110
O 0.7972 0.4478 0.2119
O 0.7995 0.6995 0.2090
O 0.8042 0.9474 0.2059
O 0.8513 0.2774 0.3890
O 0.8513 0.7778 0.3901
O 0.8594 0.0242 0.4005
O 0.8606 0.5249 0.4008
O 0.9039 0.5924 0.6016
O 0.9060 0.3560 0.6009
O 0.9068 0.0929 0.5998
O 0.9068 0.8586 0.6021
O 0.9526 0.4288 0.7850
O 0.9548 0.6776 0.7923
O 0.9563 0.1728 0.7941
O 0.9558 0.9317 0.7888

Computed properties:
- Polymorph energy (0 for the lowest one): 0 meV/atom
- Uncorrected formation energy: -3312 meV per atom
- Raw total energy: -10.781 eV per atom
- Magnetization: 1.00 μB per formula unit
- DOS(E_F): 0.001 states/eV/atom

=====

The following is a meta-GGA SCAN calculation of a PBEsol-optimized structure of BaAs2SeN, from Alexandria via LeMat-Bulk.

Lattice parameters (Å, degrees): 6.5622 6.5622 6.0971 90.00 90.00 90.00
Fractional positions:
Ba 0.0000 0.0000 0.0000
As 0.0000 0.5000 0.0000
As 0.5000 0.0000 0.0000
Se 0.0000 0.0000 0.5000
N 0.5000 0.5000 0.5000

Computed properties:
- Uncorrected formation energy: 1597 meV per atom
- Raw total energy: -20.263 eV per atom
- Magnetization: 7.26 μB per formula unit
- DOS(E_F): 1.422 states/eV/atom

=====

The following is a meta-GGA SCAN calculation of a PBEsol-optimized structure of Na3HSe, from Alexandria via LeMat-Bulk.

Lattice parameters (Å, degrees): 4.4894 4.4894 4.4894 90.00 90.00 90.00
Fractional positions:
Na 0.0000 0.0000 0.5000
Na 0.0000 0.5000 0.0000
Na 0.5000 0.0000 0.0000
H 0.0000 0.0000 0.0000
Se 0.5000 0.5000 0.5000

Computed properties:
- Raw total energy: -8.073 eV per atom
- Magnetization: 0.00 μB per formula unit
- DOS(E_F): 0.000 states/eV/atom

=====

The following is a meta-GGA SCAN calculation of a PBEsol-optimized structure of KTlZn2, from Alexandria via LeMat-Bulk.

Lattice parameters (Å, degrees): 4.6172 4.6630 6.5020 110.67 90.35 119.29
Fractional positions:
K 0.0000 0.0000 0.0000
Tl 0.5000 0.0000 0.5000
Zn 0.1961 0.3946 0.5869
Zn 0.8039 0.6054 0.4131

Computed properties:
- Polymorph energy (0 for the lowest one): 0 meV/atom
- Raw total energy: -26.896 eV per atom
- Magnetization: 0.00 μB per formula unit
- DOS(E_F): 0.307 states/eV/atom
- Calculated formation energy: 0.033 eV per atom

=====

The following is a meta-GGA SCAN calculation of a PBEsol-optimized structure of BaTcCl4, from Alexandria via LeMat-Bulk.

Lattice parameters (Å, degrees): 5.9496 5.9496 5.9496 60.00 60.00 60.00
Fractional positions:
Ba 0.0000 0.0000 0.0000
Tc 0.7500 0.7500 0.7500
Cl 0.3756 0.3756 0.3756
Cl 0.3756 0.3756 0.8732
Cl 0.3756 0.8732 0.3756
Cl 0.8732 0.3756 0.3756

Computed properties:
- Uncorrected formation energy: -185 meV per atom
- Raw total energy: -17.938 eV per atom
- Magnetization: 6.99 μB per formula unit
- DOS(E_F): 0.691 states/eV/atom

=====

The following is a meta-GGA SCAN calculation of a PBEsol-optimized structure of HoSbIr, from Alexandria via LeMat-Bulk.

Lattice parameters (Å, degrees): 7.0433 4.4697 7.8058 90.00 90.00 90.00
Fractional positions:
Ho 0.0105 0.2500 0.1924
Ho 0.4895 0.7500 0.6924
Ho 0.5105 0.2500 0.3076
Ho 0.9895 0.7500 0.8076
Sb 0.1780 0.2500 0.5883
Sb 0.3220 0.7500 0.0882
Sb 0.6780 0.2500 0.9118
Sb 0.8220 0.7500 0.4118
Ir 0.2104 0.7500 0.4124
Ir 0.2896 0.2500 0.9124
Ir 0.7104 0.7500 0.0876
Ir 0.7896 0.2500 0.5876

Computed properties:
- Uncorrected formation energy: -1086 meV per atom
- Raw total energy: -53.535 eV per atom
- Magnetization: 0.00 μB per formula unit
- DOS(E_F): 0.424 states/eV/atom

=====

The following is a meta-GGA SCAN calculation of a PBEsol-optimized structure of ZrTl2P, from Alexandria via LeMat-Bulk.

Lattice parameters (Å, degrees): 5.0127 5.0127 5.0127 60.00 60.00 60.00
Fractional positions:
Zr 0.0000 0.0000 0.0000
Tl 0.2500 0.2500 0.2500
Tl 0.7500 0.7500 0.7500
P 0.5000 0.5000 0.5000

Computed properties:
- Raw total energy: -45.957 eV per atom
- Magnetization: 1.04 μB per formula unit
- DOS(E_F): 0.701 states/eV/atom
- Calculated formation energy: 0.497 eV per atom

=====

The following is a meta-GGA SCAN calculation of a PBEsol-optimized structure of OsRh2, from Alexandria via LeMat-Bulk.

Lattice parameters (Å, degrees): 5.0920 5.0920 6.3661 103.74 103.74 30.72
Fractional positions:
Os 0.0274 0.0274 0.3060
Os 0.9726 0.9726 0.6940
Rh 0.3096 0.3096 0.3646
Rh 0.3646 0.3646 0.9726
Rh 0.6354 0.6354 0.0274
Rh 0.6904 0.6904 0.6354

Computed properties:
- Polymorph energy (0 for the lowest one): 14 meV/atom
- Raw total energy: -46.445 eV per atom
- Magnetization: 0.00 μB per formula unit
- DOS(E_F): 0.922 states/eV/atom
- Calculated formation energy: 0.030 eV per atom

=====

The following is a meta-GGA SCAN calculation of a PBEsol-optimized structure of KMg2Pb2, from Alexandria via LeMat-Bulk.

Lattice parameters (Å, degrees): 9.2339 9.2339 3.3392 90.00 90.00 90.00
Fractional positions:
K 0.0000 0.0000 0.0000
K 0.5000 0.5000 0.0000
Mg 0.1348 0.3652 0.5000
Mg 0.3652 0.8652 0.5000
Mg 0.6348 0.1348 0.5000
Mg 0.8652 0.6348 0.5000
Pb 0.1558 0.6558 0.0000
Pb 0.3442 0.1558 0.0000
Pb 0.6558 0.8442 0.0000
Pb 0.8442 0.3442 0.0000

Computed properties:
- Polymorph energy (0 for the lowest one): 77 meV/atom
- Raw total energy: -34.200 eV per atom
- Magnetization: 0.00 μB per formula unit
- DOS(E_F): 0.387 states/eV/atom
- Calculated formation energy: -0.233 eV per atom

=====

The following is a meta-GGA SCAN calculation of a PBEsol-optimized structure of ReHg2W, from Alexandria via LeMat-Bulk.

Lattice parameters (Å, degrees): 5.0318 5.0318 4.9865 99.48 99.48 33.33
Fractional positions:
Re 0.0000 0.0000 0.0000
Hg 0.2508 0.2508 0.7508
Hg 0.7492 0.7492 0.2492
W 0.5000 0.5000 0.5000

Computed properties:
- Polymorph energy (0 for the lowest one): 0 meV/atom
- Raw total energy: -68.401 eV per atom
- Magnetization: 0.00 μB per formula unit
- DOS(E_F): 0.514 states/eV/atom
- Calculated formation energy: 0.878 eV per atom

=====

The following is a meta-GGA SCAN calculation of a PBEsol-optimized structure of Li3V3O5F3, from Alexandria via LeMat-Bulk.

Lattice parameters (Å, degrees): 5.8268 5.8268 5.8230 119.95 119.95 59.45
Fractional positions:
Li 0.0000 0.0000 0.0000
Li 0.0014 0.0014 0.5113
Li 0.6279 0.6279 0.8651
V 0.0034 0.4873 0.5139
V 0.3873 0.3873 0.1487
V 0.4873 0.0034 0.5139
O 0.2569 0.2569 0.7587
O 0.2626 0.2626 0.2846
O 0.2709 0.7617 0.2716
O 0.7612 0.7612 0.7244
O 0.7617 0.2709 0.2716
F 0.2311 0.7505 0.7420
F 0.7505 0.2311 0.7420
F 0.7573 0.7573 0.2733

Computed properties:
- Polymorph energy (0 for the lowest one): 0 meV/atom
- Uncorrected formation energy: -2801 meV per atom
- Raw total energy: -10.045 eV per atom
- Magnetization: 5.00 μB per formula unit
- DOS(E_F): 0.297 states/eV/atom

=====

The following is a meta-GGA SCAN calculation of a PBEsol-optimized structure of LiTl2Ag, from Alexandria via LeMat-Bulk.

Lattice parameters (Å, degrees): 3.2829 4.7455 5.6921 90.00 105.66 90.00
Fractional positions:
Li 0.0000 0.0000 0.0000
Tl 0.2745 0.0000 0.5343
Tl 0.5867 0.5000 0.1859
Ag 0.8655 0.5000 0.7290

Computed properties:
- Polymorph energy (0 for the lowest one): 29 meV/atom
- Raw total energy: -44.675 eV per atom
- Magnetization: 0.00 μB per formula unit
- DOS(E_F): 0.309 states/eV/atom
- Calculated formation energy: -0.057 eV per atom